1:
Density functional theory data (GGA-PBE) for a geometry-optimized CsTl structure.

Output
The space group is No. 216. Its crystal system is cubic.

Unit cell a=8.6828 b=8.6828 c=8.6828 alpha=90.00 beta=90.00 gamma=90.00
Element x y z (fractional)
1 Cs 0.2500 0.7500 0.7500
2 Cs 0.7500 0.7500 0.2500
3 Tl 0.5000 0.5000 0.0000
4 Tl 0.0000 0.5000 0.5000
5 Cs 0.2500 0.2500 0.2500
6 Cs 0.7500 0.2500 0.7500
7 Tl 0.5000 0.0000 0.5000
8 Tl 0.0000 0.0000 0.0000

=====

2:
Density functional theory data (GGA-PBE) for a geometry-optimized CsTl structure.

Output
The space group is No. 38. Its crystal system is orthorhombic.

Unit cell a=4.6284 b=12.6940 c=11.4595 alpha=90.00 beta=90.00 gamma=90.00
Element x y z (fractional)
1 Tl 0.0000 0.2651 0.3614
2 Cs 0.5000 0.6638 0.1039
3 Tl 0.0000 0.7349 0.3614
4 Cs 0.5000 0.8362 0.6039
5 Cs 0.5000 0.0000 0.1890
6 Cs 0.5000 0.1638 0.6039
7 Cs 0.5000 0.5000 0.6890
8 Cs 0.5000 0.3362 0.1039
9 Tl 0.0000 0.5000 0.3822
10 Tl 0.0000 0.7651 0.8614
11 Tl 0.0000 0.0000 0.8822
12 Tl 0.0000 0.2349 0.8614

=====

3:
Density functional theory data (GGA-PBE) for a geometry-optimized CsTl structure.

Output
The space group is No. 136. Its crystal system is tetragonal.

Unit cell a=7.8171 b=7.8171 c=7.9368 alpha=90.00 beta=90.00 gamma=90.00
Element x y z (fractional)
1 Tl 0.3574 0.6426 0.5000
2 Cs 0.8211 0.8211 0.5000
3 Tl 0.6426 0.3574 0.5000
4 Cs 0.6789 0.3211 0.0000
5 Cs 0.1789 0.1789 0.5000
6 Cs 0.3211 0.6789 0.0000
7 Tl 0.8574 0.8574 0.0000
8 Tl 0.1426 0.1426 0.0000

=====

Computed relative energies in units of meV/atom: 1 412; 2 0; 3 83

=====

1:
Density functional theory data (GGA-PBE) for a geometry-optimized CsTl structure.

Output
The space group is No. 87. Its crystal system is tetragonal.

Unit cell a=13.0777 b=13.0777 c=4.7340 alpha=90.00 beta=90.00 gamma=90.00
Element x y z (fractional)
1 Tl 0.0163 0.6287 0.0000
2 Tl 0.5163 0.1287 0.5000
3 Cs 0.1773 0.8604 0.5000
4 Tl 0.8713 0.5163 0.5000
5 Cs 0.6773 0.3604 0.0000
6 Tl 0.9837 0.3713 0.0000
7 Cs 0.6396 0.6773 0.0000
8 Tl 0.4837 0.8713 0.5000
9 Cs 0.3604 0.3227 0.0000
10 Cs 0.3227 0.6396 0.0000
11 Cs 0.8227 0.1396 0.5000
12 Cs 0.8604 0.8227 0.5000
13 Tl 0.1287 0.4837 0.5000
14 Cs 0.1396 0.1773 0.5000
15 Tl 0.6287 0.9837 0.0000
16 Tl 0.3713 0.0163 0.0000

=====

2:
Density functional theory data (GGA-PBE) for a geometry-optimized CsTl structure.

Output
The space group is No. 63. Its crystal system is orthorhombic.

Unit cell a=6.2815 b=5.4545 c=7.3523 alpha=90.00 beta=115.29 gamma=90.00
Element x y z (fractional)
1 Tl 0.0466 0.2500 0.0932
2 Cs 0.6507 0.7500 0.3018
3 Tl 0.9534 0.7500 0.9068
4 Cs 0.3493 0.2500 0.6982

=====

Computed relative energies in units of meV/atom: 1 20; 2 0

=====

1:
Density functional theory data (GGA-PBE) for a geometry-optimized CsTl structure.

Output
The space group is No. 194. Its crystal system is hexagonal.

Unit cell a=6.6621 b=6.6621 c=7.9827 alpha=90.00 beta=90.00 gamma=120.00
Element x y z (fractional)
1 Cs 0.6667 0.3333 0.7500
2 Tl 0.3333 0.6667 0.7500
3 Tl 0.6667 0.3333 0.2500
4 Cs 0.3333 0.6667 0.2500

=====

2:
Density functional theory data (GGA-PBE) for a geometry-optimized CsTl structure.

Output
The space group is No. 194. Its crystal system is hexagonal.

Unit cell a=10.9338 b=10.9338 c=6.2728 alpha=90.00 beta=90.00 gamma=120.00
Element x y z (fractional)
1 Cs 0.8189 0.6378 0.7500
2 Cs 0.1811 0.8189 0.2500
3 Cs 0.1811 0.3622 0.2500
4 Tl 0.5671 0.1342 0.2500
5 Tl 0.8658 0.4329 0.2500
6 Tl 0.1342 0.5671 0.7500
7 Tl 0.4329 0.5671 0.7500
8 Cs 0.6378 0.8189 0.2500
9 Cs 0.3622 0.1811 0.7500
10 Cs 0.8189 0.1811 0.7500
11 Tl 0.5671 0.4329 0.2500
12 Tl 0.4329 0.8658 0.7500

=====

Computed relative energies in units of meV/atom: 1 414; 2 0

=====

1:
Density functional theory data (GGA-PBE) for a geometry-optimized CsTl structure.

Output
The space group is No. 225. Its crystal system is cubic.

Unit cell a=7.9658 b=7.9658 c=7.9658 alpha=90.00 beta=90.00 gamma=90.00
Element x y z (fractional)
1 Tl 0.0000 0.5000 0.0000
2 Cs 0.0000 0.0000 0.0000
3 Cs 0.5000 0.5000 0.0000
4 Tl 0.5000 0.0000 0.0000
5 Cs 0.5000 0.0000 0.5000
6 Tl 0.5000 0.5000 0.5000
7 Tl 0.0000 0.0000 0.5000
8 Cs 0.0000 0.5000 0.5000

=====

2:
Density functional theory data (GGA-PBE) for a geometry-optimized CsTl structure.

Output
The space group is No. 74. Its crystal system is orthorhombic.

Unit cell a=5.0187 b=6.8428 c=7.3909 alpha=117.58 beta=109.85 gamma=90.00
Element x y z (fractional)
1 Cs 0.9051 0.1551 0.8101
2 Tl 0.6828 0.4328 0.3656
3 Tl 0.3172 0.5672 0.6344
4 Cs 0.0949 0.8449 0.1899

=====

Computed relative energies in units of meV/atom: 1 301; 2 0

=====

1:
Density functional theory data (GGA-PBE) for a geometry-optimized Cs2Tl structure.

Output
The space group is No. 12. Its crystal system is monoclinic.

Unit cell a=5.3681 b=9.5949 c=10.2420 alpha=72.48 beta=74.81 gamma=73.76
Element x y z (fractional)
1 Cs 0.4780 0.2245 0.8194
2 Cs 0.5220 0.7755 0.1806
3 Tl 0.7811 0.4120 0.0258
4 Cs 0.2017 0.2642 0.3325
5 Cs 0.7983 0.7358 0.6675
6 Tl 0.2189 0.5880 0.9742

=====

2:
Density functional theory data (GGA-PBE) for a geometry-optimized Cs2Tl structure.

Output
The space group is No. 227. Its crystal system is cubic.

Unit cell a=8.1155 b=8.1155 c=8.1155 alpha=60.00 beta=60.00 gamma=60.00
Element x y z (fractional)
1 Cs 0.6250 0.1250 0.6250
2 Cs 0.1250 0.6250 0.6250
3 Cs 0.6250 0.6250 0.1250
4 Cs 0.6250 0.6250 0.6250
5 Tl 0.0000 0.0000 0.0000
6 Tl 0.2500 0.2500 0.2500

=====

Computed relative energies in units of meV/atom: 1 0; 2 345

=====

1:
Density functional theory data (GGA-PBE) for a geometry-optimized CsTl5 structure.

Output
The space group is No. 65. Its crystal system is orthorhombic.

Unit cell a=5.3786 b=5.4287 c=7.7886 alpha=110.40 beta=90.00 gamma=90.00
Element x y z (fractional)
1 Cs 0.0000 0.0000 0.0000
2 Tl 0.5000 0.1824 0.3647
3 Tl 0.0000 0.6802 0.3603
4 Tl 0.0000 0.3198 0.6397
5 Tl 0.5000 0.5000 0.0000
6 Tl 0.5000 0.8176 0.6353

=====

2:
Density functional theory data (GGA-PBE) for a geometry-optimized CsTl5 structure.

Output
The space group is No. 12. Its crystal system is monoclinic.

Unit cell a=5.0229 b=5.7607 c=9.0575 alpha=99.58 beta=90.00 gamma=115.85
Element x y z (fractional)
1 Tl 0.3250 0.6499 0.6484
2 Tl 0.6447 0.2895 0.7235
3 Tl 0.6750 0.3501 0.3516
4 Tl 0.3553 0.7105 0.2765
5 Tl 0.0000 0.0000 0.5000
6 Cs 0.0000 0.0000 0.0000

=====

Computed relative energies in units of meV/atom: 1 51; 2 0

=====

1:
Density functional theory data (GGA-PBE) for a geometry-optimized CsTmTl2 structure.

Output
The space group is No. 123. Its crystal system is tetragonal.

Unit cell a=3.8866 b=3.8866 c=9.2619 alpha=90.00 beta=90.00 gamma=90.00
Element x y z (fractional)
1 Tm 0.5000 0.5000 0.0000
2 Cs 0.5000 0.5000 0.5000
3 Tl 0.0000 0.0000 0.8116
4 Tl 0.0000 0.0000 0.1884

=====

2:
Density functional theory data (GGA-PBE) for a geometry-optimized CsTmTl2 structure.

Output
The space group is No. 166. Its crystal system is trigonal.

Unit cell a=3.8035 b=3.8035 c=11.4362 alpha=80.43 beta=80.43 gamma=60.00
Element x y z (fractional)
1 Cs 0.5000 0.5000 0.5000
2 Tm 0.0000 0.0000 0.0000
3 Tl 0.2619 0.2619 0.2144
4 Tl 0.7381 0.7381 0.7856

=====

Computed relative energies in units of meV/atom: 1 0; 2 169

=====

1:
Density functional theory data (GGA-PBE) for a geometry-optimized CsTl3V structure.

Output
The space group is No. 221. Its crystal system is cubic.

Unit cell a=6.4102 b=6.4102 c=6.4102 alpha=90.00 beta=90.00 gamma=90.00
Site moments in Bohr magnetons follow the coordinates.
Element x y z (fractional)
1 Tl 0.0000 0.0000 0.5000  0.00
2 Tl 0.5000 0.0000 0.0000  0.00
3 Cs 0.0000 0.0000 0.0000  -0.01
4 V 0.5000 0.5000 0.5000  3.25
5 Tl 0.0000 0.5000 0.0000  0.00

=====

2:
Density functional theory data (GGA-PBE) for a geometry-optimized CsTl3V structure.

Output
The space group is No. 221. Its crystal system is cubic.

Unit cell a=5.5634 b=5.5634 c=5.5634 alpha=90.00 beta=90.00 gamma=90.00
Site moments in Bohr magnetons follow the coordinates.
Element x y z (fractional)
1 Cs 0.5000 0.5000 0.5000  -0.03
2 Tl 0.5000 0.0000 0.0000  0.02
3 Tl 0.0000 0.5000 0.0000  0.02
4 V 0.0000 0.0000 0.0000  2.42
5 Tl 0.0000 0.0000 0.5000  0.02

=====

Computed relative energies in units of meV/atom: 1 1276; 2 0